[1]
Material: PmEr2Pt
Method: DFT, PBE
State: optimized geometry

Summary:
The calculated density comes out at 9318 kg/m3. The spin magnetization comes out at 0.000 μB per atom. Its space group is R3m, No. 160. The formation energy comes out at -556 meV/atom. The total energy is -5.5357 eV/atom. As for the relative energy among the computed polymorphs: 151 meV/atom. As for the crystal system: trigonal.

a = 9.2452 Å, b = 9.2452 Å, c = 9.2452 Å
α = 24.58°, β = 24.58°, γ = 24.58°
Fractional coordinates of all 4 atoms:
1 Pm 0.0000 0.0000 0.0000
2 Er 0.2284 0.2284 0.2284
3 Er 0.4430 0.4430 0.4430
4 Pt 0.8363 0.8363 0.8363

***

[2]
Material: PmErRuPt
Method: DFT, PBE
State: optimized geometry

Summary:
The calculated density comes out at 12023 kg/m3. The spin magnetization comes out at 0.000 μB per atom. Its space group is P4mm, No. 99. The formation energy comes out at -761 meV/atom. The total energy is -6.9185 eV/atom. As for the relative energy among the computed polymorphs: 0 meV/atom. As for the crystal system: tetragonal.

a = 3.4783 Å, b = 3.4783 Å, c = 6.9457 Å
α = 90.00°, β = 90.00°, γ = 90.00°
Fractional coordinates of all 4 atoms:
1 Pm 0.0000 0.0000 0.0000
2 Er 0.0000 0.0000 0.4890
3 Ru 0.5000 0.5000 0.2546
4 Pt 0.5000 0.5000 0.7271

***

[3]
Material: PmErRuPt
Method: DFT, PBE
State: optimized geometry

Summary:
The calculated density comes out at 12026 kg/m3. The spin magnetization comes out at 0.000 μB per atom. Its space group is F-43m, No. 216. The formation energy comes out at -707 meV/atom. The total energy is -6.8650 eV/atom. As for the relative energy among the computed polymorphs: 54 meV/atom. As for the crystal system: cubic.

a = 4.9161 Å, b = 4.9161 Å, c = 4.9161 Å
α = 60.00°, β = 60.00°, γ = 60.00°
Fractional coordinates of all 4 atoms:
1 Pm 0.0000 0.0000 0.0000
2 Er 0.5000 0.5000 0.5000
3 Ru 0.7500 0.7500 0.7500
4 Pt 0.2500 0.2500 0.2500

***

[4]
Material: Pm2ErSb3Pt4
Method: DFT, PBE
State: optimized geometry

Summary:
The calculated density comes out at 11474 kg/m3. The spin magnetization comes out at 0.000 μB per atom. The calculation puts the formation energy from raw total energies at -0.944 eV per atom. Its space group is P-4m2, No. 115. The total energy is -6.0031 eV/atom. As for the crystal system: tetragonal.

a = 4.4978 Å, b = 4.4978 Å, c = 11.4664 Å
α = 90.00°, β = 90.00°, γ = 90.00°
Fractional coordinates of all 10 atoms:
1 Pm 0.0000 0.5000 0.2126
2 Pm 0.5000 0.0000 0.7874
3 Er 0.0000 0.0000 0.5000
4 Sb 0.0000 0.5000 0.8680
5 Sb 0.5000 0.0000 0.1320
6 Sb 0.5000 0.5000 0.5000
7 Pt 0.0000 0.0000 0.0000
8 Pt 0.0000 0.5000 0.6422
9 Pt 0.5000 0.0000 0.3578
10 Pt 0.5000 0.5000 0.0000

***

[5]
Material: Pm2ErSi4Pt3
Method: DFT, PBE
State: optimized geometry

Summary:
The calculated density comes out at 9852 kg/m3. The spin magnetization comes out at 0.000 μB per atom. The calculation puts the formation energy from raw total energies at -1.003 eV per atom. Its space group is P-4m2, No. 115. The total energy is -6.3907 eV/atom. As for the crystal system: tetragonal.

a = 4.2392 Å, b = 4.2392 Å, c = 10.8310 Å
α = 90.00°, β = 90.00°, γ = 90.00°
Fractional coordinates of all 10 atoms:
1 Pm 0.0000 0.5000 0.2314
2 Pm 0.5000 0.0000 0.7686
3 Er 0.0000 0.0000 0.5000
4 Si 0.0000 0.0000 0.0000
5 Si 0.0000 0.5000 0.6651
6 Si 0.5000 0.0000 0.3349
7 Si 0.5000 0.5000 0.0000
8 Pt 0.0000 0.5000 0.8893
9 Pt 0.5000 0.0000 0.1107
10 Pt 0.5000 0.5000 0.5000

***

[6]
Material: PmErSi2Pt4
Method: DFT, PBE
State: optimized geometry

Summary:
The calculated density comes out at 12322 kg/m3. The spin magnetization comes out at 0.000 μB per atom. The calculation puts the formation energy from raw total energies at -0.986 eV per atom. Its space group is P4/mmm, No. 123. The total energy is -6.5263 eV/atom. As for the crystal system: tetragonal.

a = 4.1921 Å, b = 4.1921 Å, c = 8.8094 Å
α = 90.00°, β = 90.00°, γ = 90.00°
Fractional coordinates of all 8 atoms:
1 Pm 0.0000 0.0000 0.0000
2 Er 0.0000 0.0000 0.5000
3 Si 0.5000 0.5000 0.1350
4 Si 0.5000 0.5000 0.8650
5 Pt 0.0000 0.5000 0.2722
6 Pt 0.0000 0.5000 0.7278
7 Pt 0.5000 0.0000 0.2722
8 Pt 0.5000 0.0000 0.7278